An optimized crystal structure of Hf2Sc2Os3, computed with PBE-GGA.

Unit cell a=7.873 b=4.548 c=7.901 alpha=90.00 beta=109.53 gamma=90.00
Space group C2/m (No. 12)
One atom of each set of equivalent atoms:
Hf (0.122, 0.000, 0.366)
Sc (0.128, 0.500, 0.883)
Os (0.000, 0.500, 0.500)
Os (0.247, 0.000, 0.739)

Calculated values
formation energy from the elements = -0.4136 eV/atom



An optimized crystal structure of Ta2TiTe4, computed with PBE-GGA.

Unit cell a=15.065 b=3.660 c=6.782 alpha=90.00 beta=114.47 gamma=90.00
Space group C2/m (No. 12)
One atom of each set of equivalent atoms:
Ta (0.245, 0.000, 0.170)
Ti (0.000, 0.500, 0.500)
Te (0.099, 0.500, 0.947)
Te (0.142, 0.000, 0.475)

Calculated values
formation energy without anion corrections = -40.1 kJ/mol of atoms



An optimized crystal structure of Eu2ZnIn, computed with PBE-GGA.

Unit cell a=3.8373 b=3.8373 c=29.4852 alpha=90.00 beta=90.00 gamma=120.00
Space group R-3m (No. 166, hexagonal axes)
One atom of each set of equivalent atoms:
Eu (0.0000, 0.0000, 0.2450)
Zn (0.0000, 0.0000, 0.5000)
In (0.0000, 0.0000, 0.0000)

Calculated values
formation energy from the elements = -0.1592 eV/atom



An optimized crystal structure of Ti3In, computed with PBE-GGA.

Unit cell a=9.3787 b=9.3787 c=2.8968 alpha=90.00 beta=90.00 gamma=120.00
Space group R-3m (No. 166, hexagonal axes)
One atom of each set of equivalent atoms:
Ti (0.0000, 0.5000, 0.0000)
In (0.0000, 0.0000, 0.0000)

Calculated values
formation energy from the elements = 0.0006 eV/atom



no.,spin magnetization (μB per cell)
1,0.0
2,2.7
3,45.5
4,6.3